1.
VASP calculation (PBE-GGA) on a relaxed PmTaSi2Rh5 crystal.

Uncorrected energy: -7.71 eV/atom
Formation energy without anion corrections: -0.578 eV/atom
Total moment: 0.0 μB/cell
Density of states at the Fermi level: 2.227 states/eV/cell

Structure (POSCAR):
```
PmTaSi2Rh5
1.0
4.087 0.000 0.000
0.000 4.087 0.000
0.000 0.000 10.154
Si Rh Pm Ta
2 5 1 1
direct
0.500 0.500 0.273 Si
0.500 0.500 0.727 Si
0.000 0.500 0.160 Rh
0.500 0.500 0.500 Rh
0.500 0.000 0.840 Rh
0.500 0.000 0.160 Rh
0.000 0.500 0.840 Rh
0.000 0.000 0.500 Pm
0.000 0.000 0.000 Ta
```

***

2.
VASP calculation (PBE-GGA) on a relaxed KBaV2Ge crystal.

Uncorrected energy: -4.44 eV/atom
Total moment: 7.2 μB/cell
Density of states at the Fermi level: 6.128 states/eV/cell
Energy of formation: 0.730 eV per atom

Structure (POSCAR):
```
KBaV2Ge
1.0
5.076 0.000 0.000
0.000 5.991 0.000
0.000 0.000 5.076
V Ba K Ge
2 1 1 1
direct
0.000 0.000 0.500 V
0.500 0.000 0.000 V
0.500 0.500 0.500 Ba
0.000 0.500 0.000 K
0.000 0.000 0.000 Ge
```

***

3.
VASP calculation (PBE-GGA) on a relaxed Ba2LiLaPd crystal.

Uncorrected energy: -3.30 eV/atom
Total moment: 0.0 μB/cell
Density of states at the Fermi level: 4.789 states/eV/cell
Energy of formation: -0.123 eV per atom

Structure (POSCAR):
```
Ba2LiLaPd
1.0
6.402 0.000 0.000
0.000 6.402 0.000
0.000 0.000 5.603
La Ba Pd Li
1 2 1 1
direct
0.000 0.000 0.500 La
0.000 0.500 0.000 Ba
0.500 0.000 0.000 Ba
0.000 0.000 0.000 Pd
0.500 0.500 0.500 Li
```

***

4.
VASP calculation (PBE-GGA) on a relaxed YEr2NpO8 crystal.

Uncorrected energy: -8.89 eV/atom
Formation energy without anion corrections: -3.204 eV/atom
Total moment: 0.0 μB/cell

Structure (POSCAR):
```
YEr2NpO8
1.0
5.059 -0.051 -0.003
-0.022 5.061 -0.006
0.004 0.008 6.967
O Er Y Np
8 2 1 1
direct
0.185 0.815 0.223 O
0.690 0.691 0.500 O
0.310 0.309 0.500 O
0.185 0.815 0.777 O
0.716 0.717 0.000 O
0.284 0.283 0.000 O
0.815 0.185 0.777 O
0.815 0.185 0.223 O
0.500 0.500 0.740 Er
0.500 0.500 0.260 Er
0.000 0.000 0.500 Y
0.000 0.000 0.000 Np
```

***

no.,V (Å³ per atom)
1,18.84
2,30.87
3,45.93
4,14.87